No. 1
## ZrTlPS6 (GGA-PBE)

Data for crystalline ZrTlPS6 at its relaxed geometry.

a b c (Å): 6.3932 6.3932 5.7757
angles (deg): 90.00 90.00 120.00
Atoms (fractional coordinates):
Zr 0.0000 0.0000 0.0000
Tl 0.3333 0.6667 0.5000
P 0.6667 0.3333 0.0000
S 0.3656 0.0625 0.7702
S 0.3656 0.3031 0.2298
S 0.6969 0.0625 0.2298
S 0.6969 0.6344 0.7702
S 0.9375 0.3031 0.7702
S 0.9375 0.6344 0.2298

Computed properties:
Formation energy (no corrections) in kJ/mol of atoms: -32
Mass density in Mg/m³: 4.2

No. 2
## CuSiNi (GGA-PBE)

Data for crystalline CuSiNi at its relaxed geometry.

a b c (Å): 3.8373 3.8373 3.8373
angles (deg): 60.00 60.00 60.00
Atoms (fractional coordinates):
Cu 0.0000 0.0000 0.0000
Si 0.2500 0.2500 0.2500
Ni 0.5000 0.5000 0.5000

Computed properties:
Formation energy (no corrections) in kJ/mol of atoms: -13
Mass density in Mg/m³: 6.2

No. 3
## MoSeBr2 (GGA-PBE)

Data for crystalline MoSeBr2 at its relaxed geometry.

a b c (Å): 6.7419 3.3162 6.7438
angles (deg): 90.00 118.68 90.00
Atoms (fractional coordinates):
Mo 0.0000 0.0000 0.0000
Se 0.2551 0.5000 0.9786
Br 0.6704 0.0000 0.6349
Br 0.9979 0.5000 0.2897

Computed properties:
Formation energy (no corrections) in kJ/mol of atoms: -32
Mass density in Mg/m³: 4.2
Distance to the lowest polymorph of the same formula in meV per atom: 0

No. 4
## Ba2LiAg6Sn (GGA-PBE)

Data for crystalline Ba2LiAg6Sn at its relaxed geometry.

a b c (Å): 5.8136 7.3912 7.5085
angles (deg): 83.99 67.35 66.90
Atoms (fractional coordinates):
Ba 0.0440 0.2147 0.1976
Ba 0.9560 0.7853 0.8024
Li 0.5000 0.0000 0.5000
Ag 0.0111 0.2602 0.7245
Ag 0.3407 0.4068 0.4132
Ag 0.4948 0.7407 0.2754
Ag 0.5052 0.2593 0.7246
Ag 0.6593 0.5932 0.5868
Ag 0.9889 0.7398 0.2755
Sn 0.5000 0.5000 0.0000

Computed properties:
Mass density in Mg/m³: 6.4
DFT total energy in eV/cell: -28.72

No. 5
## Er8ZnCu2 (GGA-PBE)

Data for crystalline Er8ZnCu2 at its relaxed geometry.

a b c (Å): 9.0150 9.0150 6.7335
angles (deg): 106.81 106.81 32.40
Atoms (fractional coordinates):
Er 0.0328 0.0328 0.2827
Er 0.1975 0.1975 0.8244
Er 0.3274 0.3274 0.5163
Er 0.4062 0.4062 0.0365
Er 0.5938 0.5938 0.9635
Er 0.6726 0.6726 0.4837
Er 0.8025 0.8025 0.1756
Er 0.9672 0.9672 0.7173
Zn 0.5000 0.5000 0.5000
Cu 0.1824 0.1824 0.2172
Cu 0.8176 0.8176 0.7828

Computed properties:
Mass density in Mg/m³: 9.1
Distance to the lowest polymorph of the same formula in meV per atom: 0

No. 6
## BeTcIr2 (GGA-PBE)

Data for crystalline BeTcIr2 at its relaxed geometry.

a b c (Å): 2.6894 2.6894 8.4881
angles (deg): 90.00 90.00 117.81
Atoms (fractional coordinates):
Be 0.0000 0.0000 0.0000
Tc 0.5000 0.5000 0.7636
Ir 0.0000 0.0000 0.4988
Ir 0.5000 0.5000 0.2128

Computed properties:
Mass density in Mg/m³: 15.0
DFT total energy in eV/cell: -31.23

No. 7
## VGeN2 (GGA-PBE)

Data for crystalline VGeN2 at its relaxed geometry.

a b c (Å): 5.4796 5.4796 5.4796
angles (deg): 129.37 129.37 74.41
Atoms (fractional coordinates):
V 0.0000 0.0000 0.0000
V 0.7500 0.2500 0.5000
Ge 0.2500 0.7500 0.5000
Ge 0.5000 0.5000 0.0000
N 0.1571 0.6250 0.0321
N 0.3750 0.4071 0.5321
N 0.5929 0.1250 0.9679
N 0.8750 0.8429 0.4679

Computed properties:
Formation energy (no corrections) in kJ/mol of atoms: -11
Mass density in Mg/m³: 5.3

No. 8
## SnSbN2 (GGA-PBE)

Data for crystalline SnSbN2 at its relaxed geometry.

a b c (Å): 6.8444 6.8444 6.8444
angles (deg): 28.09 28.09 28.09
Atoms (fractional coordinates):
Sn 0.0000 0.0000 0.0000
Sb 0.5000 0.5000 0.5000
N 0.3896 0.3896 0.3896
N 0.6104 0.6104 0.6104

Computed properties:
Formation energy (no corrections) in kJ/mol of atoms: 40
Mass density in Mg/m³: 7.1
Distance to the lowest polymorph of the same formula in meV per atom: 168

No. 9
## ThSi2Tc (GGA-PBE)

Data for crystalline ThSi2Tc at its relaxed geometry.

a b c (Å): 7.0814 4.1752 10.2781
angles (deg): 90.00 90.00 90.00
Atoms (fractional coordinates):
Th 0.1585 0.2500 0.1258
Th 0.3415 0.7500 0.6258
Th 0.6585 0.2500 0.3742
Th 0.8415 0.7500 0.8742
Si 0.1529 0.2500 0.8156
Si 0.1915 0.2500 0.4219
Si 0.3085 0.7500 0.9219
Si 0.3471 0.7500 0.3156
Si 0.6529 0.2500 0.6844
Si 0.6915 0.2500 0.0781
Si 0.8085 0.7500 0.5781
Si 0.8471 0.7500 0.1844
Tc 0.0126 0.7500 0.3896
Tc 0.4874 0.2500 0.8896
Tc 0.5126 0.7500 0.1104
Tc 0.9874 0.2500 0.6104

Computed properties:
Formation energy (no corrections) in kJ/mol of atoms: -68
Mass density in Mg/m³: 8.4
Distance to the lowest polymorph of the same formula in meV per atom: 0

No. 10
## SrCeRuN2 (GGA-PBE)

Data for crystalline SrCeRuN2 at its relaxed geometry.

a b c (Å): 5.5379 5.2629 6.8322
angles (deg): 90.00 92.81 90.00
Atoms (fractional coordinates):
Sr 0.0000 0.0382 0.2500
Sr 0.0000 0.9618 0.7500
Ce 0.5000 0.4857 0.7500
Ce 0.5000 0.5143 0.2500
Ru 0.5000 0.0000 0.0000
Ru 0.5000 0.0000 0.5000
N 0.2789 0.2915 0.9989
N 0.2789 0.7085 0.4989
N 0.7211 0.2915 0.5011
N 0.7211 0.7085 0.0011

Computed properties:
Formation energy (no corrections) in kJ/mol of atoms: -48
Mass density in Mg/m³: 6.0

No. 11
## MgMo7 (GGA-PBE)

Data for crystalline MgMo7 at its relaxed geometry.

a b c (Å): 5.6774 5.6774 5.6774
angles (deg): 60.00 60.00 60.00
Atoms (fractional coordinates):
Mg 0.0000 0.0000 0.0000
Mo 0.0000 0.0000 0.5000
Mo 0.0000 0.5000 0.0000
Mo 0.0000 0.5000 0.5000
Mo 0.5000 0.0000 0.0000
Mo 0.5000 0.0000 0.5000
Mo 0.5000 0.5000 0.0000
Mo 0.5000 0.5000 0.5000

Computed properties:
Mass density in Mg/m³: 8.9
DFT total energy in eV/cell: -74.07

No. 12
## Zn4GaAg3 (GGA-PBE)

Data for crystalline Zn4GaAg3 at its relaxed geometry.

a b c (Å): 7.7641 7.7641 7.7641
angles (deg): 158.81 123.38 61.15
Atoms (fractional coordinates):
Zn 0.0295 0.8482 0.1813
Zn 0.3331 0.1518 0.1813
Zn 0.6669 0.8482 0.8187
Zn 0.9705 0.1518 0.8187
Ga 0.5000 0.0000 0.5000
Ag 0.0000 0.5000 0.5000
Ag 0.3291 0.3291 0.0000
Ag 0.6709 0.6709 0.0000

Computed properties:
Mass density in Mg/m³: 7.7
Distance to the lowest polymorph of the same formula in meV per atom: 66

Please write out number 10 again, unchanged.
## SrCeRuN2 (GGA-PBE)

Data for crystalline SrCeRuN2 at its relaxed geometry.

a b c (Å): 5.5379 5.2629 6.8322
angles (deg): 90.00 92.81 90.00
Atoms (fractional coordinates):
Sr 0.0000 0.0382 0.2500
Sr 0.0000 0.9618 0.7500
Ce 0.5000 0.4857 0.7500
Ce 0.5000 0.5143 0.2500
Ru 0.5000 0.0000 0.0000
Ru 0.5000 0.0000 0.5000
N 0.2789 0.2915 0.9989
N 0.2789 0.7085 0.4989
N 0.7211 0.2915 0.5011
N 0.7211 0.7085 0.0011

Computed properties:
Formation energy (no corrections) in kJ/mol of atoms: -48
Mass density in Mg/m³: 6.0

What did the tenth record say?
## SrCeRuN2 (GGA-PBE)

Data for crystalline SrCeRuN2 at its relaxed geometry.

a b c (Å): 5.5379 5.2629 6.8322
angles (deg): 90.00 92.81 90.00
Atoms (fractional coordinates):
Sr 0.0000 0.0382 0.2500
Sr 0.0000 0.9618 0.7500
Ce 0.5000 0.4857 0.7500
Ce 0.5000 0.5143 0.2500
Ru 0.5000 0.0000 0.0000
Ru 0.5000 0.0000 0.5000
N 0.2789 0.2915 0.9989
N 0.2789 0.7085 0.4989
N 0.7211 0.2915 0.5011
N 0.7211 0.7085 0.0011

Computed properties:
Formation energy (no corrections) in kJ/mol of atoms: -48
Mass density in Mg/m³: 6.0

Which formula does entry 11 have?
MgMo7

Number 1 is which compound?
ZrTlPS6